(1)
BaAlAu2 at its PBEsol-relaxed geometry, computed with SCAN.

a b c (Å): 4.452 4.454 6.467
angles (deg): 109.90 90.00 119.99
Atoms (fractional coordinates):
1 Au 0.031 0.061 0.091
2 Au 0.299 0.598 0.894
3 Ba 0.490 0.981 0.476
4 Al 0.680 0.360 0.039

- ρ: 9.1 g/cm³
- Formation enthalpy at 0 K: -0.74 eV/atom
- Magnetization: 0.00 μB/f.u.
- DOS at the Fermi energy: 1.6 states/eV/f.u.

***

(2)
BaAlAu2 at its PBEsol-relaxed geometry, computed with SCAN.

a b c (Å): 3.348 3.348 7.757
angles (deg): 90.00 90.00 90.00
Atoms (fractional coordinates):
1 Au 0.000 0.000 0.684
2 Au 0.000 0.000 0.316
3 Ba 0.500 0.500 0.000
4 Al 0.500 0.500 0.500

- ρ: 10.7 g/cm³
- Formation enthalpy at 0 K: -0.53 eV/atom
- Magnetization: 0.00 μB/f.u.
- DOS at the Fermi energy: 2.5 states/eV/f.u.

***

(3)
BaAl3Au at its PBEsol-relaxed geometry, computed with SCAN.

a b c (Å): 5.014 5.014 5.014
angles (deg): 90.00 90.00 90.00
Atoms (fractional coordinates):
1 Au 0.000 0.000 0.000
2 Ba 0.500 0.500 0.500
3 Al 0.000 0.500 0.000
4 Al 0.000 0.000 0.500
5 Al 0.500 0.000 0.000

- ρ: 5.5 g/cm³
- Formation enthalpy at 0 K: -0.14 eV/atom
- Magnetization: 0.00 μB/f.u.
- DOS at the Fermi energy: 3.8 states/eV/f.u.

***

(4)
BaAlSbAu2 at its PBEsol-relaxed geometry, computed with SCAN.

a b c (Å): 5.843 5.843 6.201
angles (deg): 90.00 90.00 90.00
Atoms (fractional coordinates):
1 Sb 0.000 0.000 0.500
2 Au 0.000 0.500 0.000
3 Au 0.500 0.000 0.000
4 Ba 0.000 0.000 0.000
5 Al 0.500 0.500 0.500

- ρ: 5.3 g/cm³
- Magnetization: 1.40 μB/f.u.
- DOS at the Fermi energy: 3.4 states/eV/f.u.
- Final energy: -43.661 eV per atom

***

(5)
BeAlAu2 at its PBEsol-relaxed geometry, computed with SCAN.

a b c (Å): 2.899 2.899 8.232
angles (deg): 79.86 79.86 60.00
Atoms (fractional coordinates):
1 Be 0.500 0.500 0.500
2 Au 0.243 0.243 0.272
3 Au 0.757 0.757 0.728
4 Al 0.000 0.000 0.000

- ρ: 12.2 g/cm³
- Formation enthalpy at 0 K: -0.23 eV/atom
- Magnetization: 0.00 μB/f.u.
- DOS at the Fermi energy: 1.2 states/eV/f.u.

***

(6)
BeAlAu at its PBEsol-relaxed geometry, computed with SCAN.

a b c (Å): 2.860 2.860 5.980
angles (deg): 90.00 90.00 120.00
Atoms (fractional coordinates):
1 Be 0.333 0.667 0.339
2 Au 0.667 0.333 0.644
3 Al 0.000 0.000 0.017

- ρ: 9.1 g/cm³
- Formation enthalpy at 0 K: -0.07 eV/atom
- Magnetization: 0.00 μB/f.u.
- DOS at the Fermi energy: 1.0 states/eV/f.u.